Below is an optimized crystal structure of LaZnMo, with properties calculated at the GGA-PBE level.

a = 4.8998 Å, b = 4.8998 Å, c = 4.8998 Å
α = 60.00°, β = 60.00°, γ = 60.00°
Fractional positions:
La 0.7500 0.7500 0.7500
Mo 0.0000 0.0000 0.0000
Zn 0.5000 0.5000 0.5000

Output
Energy of formation from the pure elements, eV per atom: 1.20
Density of states at the Fermi level, states/eV per atom: 0.18